1.
The following is a DFT calculation (GGA-PBE) of a relaxed Tb3Pm4Er crystal.

Unit cell a=11.545 b=7.318 c=6.316 alpha=90.00 beta=90.00 gamma=90.00
Element x y z (fractional)
1 Tb 0.000 0.124 0.000
2 Tb 0.250 0.122 0.332
3 Tb 0.250 0.878 0.832
4 Tb 0.500 0.876 0.500
5 Tb 0.750 0.122 0.332
6 Tb 0.750 0.878 0.832
7 Pm 0.000 0.373 0.501
8 Pm 0.000 0.627 0.997
9 Pm 0.248 0.627 0.333
10 Pm 0.252 0.373 0.833
11 Pm 0.500 0.373 0.497
12 Pm 0.500 0.627 0.001
13 Pm 0.748 0.373 0.833
14 Pm 0.752 0.627 0.333
15 Er 0.000 0.879 0.499
16 Er 0.500 0.121 0.999

Computed properties:
ΔE to the lowest computed polymorph = 0.000 eV per atom

2.
The following is a DFT calculation (GGA-PBE) of a relaxed Tb2Pm7Er crystal.

Unit cell a=9.479 b=9.479 c=5.528 alpha=90.00 beta=90.00 gamma=124.95
Element x y z (fractional)
1 Tb 0.205 0.795 0.000
2 Tb 0.795 0.205 0.000
3 Pm 0.000 0.000 0.000
4 Pm 0.210 0.432 0.000
5 Pm 0.290 0.710 0.500
6 Pm 0.432 0.210 0.000
7 Pm 0.568 0.790 0.000
8 Pm 0.710 0.290 0.500
9 Pm 0.790 0.568 0.000
10 Er 0.500 0.500 0.500

Computed properties:
ΔE to the lowest computed polymorph = 0.258 eV per atom

3.
The following is a DFT calculation (GGA-PBE) of a relaxed TbPmEr6 crystal.

Unit cell a=6.986 b=6.986 c=6.986 alpha=110.26 beta=110.26 gamma=110.26
Element x y z (fractional)
1 Tb 0.000 0.000 0.000
2 Pm 0.500 0.500 0.500
3 Er 0.248 0.750 0.750
4 Er 0.250 0.250 0.752
5 Er 0.250 0.752 0.250
6 Er 0.750 0.248 0.750
7 Er 0.750 0.750 0.248
8 Er 0.752 0.250 0.250

Computed properties:
ΔE to the lowest computed polymorph = 0.244 eV per atom

4.
The following is a DFT calculation (GGA-PBE) of a relaxed Tb9Pm4Er11 crystal.

Unit cell a=15.028 b=15.028 c=3.683 alpha=90.00 beta=90.00 gamma=112.79
Element x y z (fractional)
1 Tb 0.000 0.000 0.000
2 Tb 0.134 0.662 0.000
3 Tb 0.288 0.434 0.000
4 Tb 0.338 0.866 0.000
5 Tb 0.434 0.288 0.000
6 Tb 0.566 0.712 0.000
7 Tb 0.662 0.134 0.000
8 Tb 0.712 0.566 0.000
9 Tb 0.866 0.338 0.000
10 Pm 0.054 0.254 0.000
11 Pm 0.254 0.054 0.000
12 Pm 0.746 0.946 0.000
13 Pm 0.946 0.746 0.000
14 Er 0.093 0.455 0.500
15 Er 0.136 0.864 0.500
16 Er 0.213 0.213 0.500
17 Er 0.341 0.659 0.500
18 Er 0.455 0.093 0.500
19 Er 0.500 0.500 0.500
20 Er 0.545 0.907 0.500
21 Er 0.659 0.341 0.500
22 Er 0.787 0.787 0.500
23 Er 0.864 0.136 0.500
24 Er 0.907 0.545 0.500

5.
The following is a DFT calculation (GGA-PBE) of a relaxed TbPm12Er6 crystal.

Unit cell a=8.624 b=8.624 c=8.624 alpha=88.87 beta=88.87 gamma=88.87
Element x y z (fractional)
1 Tb 0.000 0.000 0.000
2 Pm 0.017 0.362 0.196
3 Pm 0.196 0.017 0.362
4 Pm 0.220 0.567 0.463
5 Pm 0.362 0.196 0.017
6 Pm 0.433 0.537 0.780
7 Pm 0.463 0.220 0.567
8 Pm 0.537 0.780 0.433
9 Pm 0.567 0.463 0.220
10 Pm 0.638 0.804 0.983
11 Pm 0.780 0.433 0.537
12 Pm 0.804 0.983 0.638
13 Pm 0.983 0.638 0.804
14 Er 0.099 0.259 0.702
15 Er 0.259 0.702 0.099
16 Er 0.298 0.901 0.741
17 Er 0.702 0.099 0.259
18 Er 0.741 0.298 0.901
19 Er 0.901 0.741 0.298

Computed properties:
ΔE to the lowest computed polymorph = 0.121 eV per atom

6.
The following is a DFT calculation (GGA-PBE) of a relaxed TbPm3Er2 crystal.

Unit cell a=9.498 b=9.498 c=6.201 alpha=90.22 beta=90.22 gamma=44.41
Element x y z (fractional)
1 Tb 0.125 0.875 0.750
2 Tb 0.875 0.125 0.250
3 Pm 0.042 0.292 0.917
4 Pm 0.292 0.042 0.417
5 Pm 0.375 0.625 0.250
6 Pm 0.625 0.375 0.750
7 Pm 0.708 0.958 0.583
8 Pm 0.958 0.708 0.083
9 Er 0.208 0.458 0.583
10 Er 0.458 0.208 0.083
11 Er 0.542 0.792 0.917
12 Er 0.792 0.542 0.417

Computed properties:
ΔE to the lowest computed polymorph = 0.016 eV per atom

7.
The following is a DFT calculation (GGA-PBE) of a relaxed Tb5PmEr2 crystal.

Unit cell a=7.122 b=14.245 c=5.021 alpha=90.00 beta=90.00 gamma=90.00
Element x y z (fractional)
1 Tb 0.000 0.000 0.000
2 Tb 0.001 0.249 0.000
3 Tb 0.249 0.874 0.500
4 Tb 0.251 0.374 0.500
5 Tb 0.499 0.749 0.000
6 Tb 0.500 0.500 0.000
7 Tb 0.501 0.251 0.000
8 Tb 0.749 0.626 0.500
9 Tb 0.751 0.126 0.500
10 Tb 0.999 0.751 0.000
11 Pm 0.000 0.500 0.000
12 Pm 0.500 0.000 0.000
13 Er 0.250 0.125 0.500
14 Er 0.250 0.625 0.500
15 Er 0.750 0.375 0.500
16 Er 0.750 0.875 0.500

Computed properties:
ΔE to the lowest computed polymorph = 0.000 eV per atom

8.
The following is a DFT calculation (GGA-PBE) of a relaxed Tb3Pm7Er2 crystal.

Unit cell a=19.332 b=19.332 c=3.619 alpha=90.00 beta=90.00 gamma=162.78
Element x y z (fractional)
1 Tb 0.000 0.000 0.000
2 Tb 0.184 0.816 0.000
3 Tb 0.816 0.184 0.000
4 Pm 0.093 0.907 0.500
5 Pm 0.268 0.732 0.500
6 Pm 0.427 0.573 0.000
7 Pm 0.500 0.500 0.500
8 Pm 0.573 0.427 0.000
9 Pm 0.732 0.268 0.500
10 Pm 0.907 0.093 0.500
11 Er 0.351 0.649 0.500
12 Er 0.649 0.351 0.500

Computed properties:
ΔE to the lowest computed polymorph = 0.000 eV per atom

9.
The following is a DFT calculation (GGA-PBE) of a relaxed TbPm3Er5 crystal.

Unit cell a=8.873 b=8.873 c=11.335 alpha=107.81 beta=107.81 gamma=44.35
Element x y z (fractional)
1 Tb 0.227 0.773 0.750
2 Tb 0.773 0.227 0.250
3 Pm 0.000 0.000 0.000
4 Pm 0.000 0.000 0.500
5 Pm 0.136 0.390 0.646
6 Pm 0.390 0.136 0.146
7 Pm 0.610 0.864 0.854
8 Pm 0.864 0.610 0.354
9 Er 0.053 0.299 0.875
10 Er 0.299 0.053 0.375
11 Er 0.320 0.680 0.250
12 Er 0.389 0.397 0.455
13 Er 0.397 0.389 0.955
14 Er 0.603 0.611 0.045
15 Er 0.611 0.603 0.545
16 Er 0.680 0.320 0.750
17 Er 0.701 0.947 0.625
18 Er 0.947 0.701 0.125

Computed properties:
ΔE to the lowest computed polymorph = 0.000 eV per atom

10.
The following is a DFT calculation (GGA-PBE) of a relaxed Tb8Pm3Er3 crystal.

Unit cell a=9.661 b=9.661 c=9.661 alpha=146.00 beta=111.94 gamma=78.31
Element x y z (fractional)
1 Tb 0.056 0.897 0.159
2 Tb 0.062 0.721 0.340
3 Tb 0.262 0.103 0.159
4 Tb 0.381 0.721 0.660
5 Tb 0.619 0.279 0.340
6 Tb 0.738 0.897 0.841
7 Tb 0.938 0.279 0.660
8 Tb 0.944 0.103 0.841
9 Pm 0.319 0.319 0.000
10 Pm 0.500 0.000 0.500
11 Pm 0.681 0.681 0.000
12 Er 0.000 0.500 0.500
13 Er 0.296 0.500 0.796
14 Er 0.704 0.500 0.204

11.
The following is a DFT calculation (GGA-PBE) of a relaxed Tb2Pm7Er2 crystal.

Unit cell a=9.449 b=9.449 c=9.449 alpha=145.22 beta=63.47 gamma=128.70
Element x y z (fractional)
1 Tb 0.201 0.000 0.201
2 Tb 0.799 0.000 0.799
3 Pm 0.069 0.704 0.365
4 Pm 0.201 0.201 0.000
5 Pm 0.335 0.498 0.837
6 Pm 0.339 0.704 0.635
7 Pm 0.661 0.498 0.163
8 Pm 0.663 0.295 0.367
9 Pm 0.928 0.295 0.633
10 Er 0.499 0.999 0.500
11 Er 0.784 0.784 0.000

Computed properties:
ΔE to the lowest computed polymorph = 0.000 eV per atom

12.
The following is a DFT calculation (GGA-PBE) of a relaxed Tb12Pm5Er crystal.

Unit cell a=10.443 b=10.443 c=5.749 alpha=90.00 beta=90.00 gamma=110.95
Element x y z (fractional)
1 Tb 0.027 0.667 0.000
2 Tb 0.167 0.525 0.500
3 Tb 0.202 0.202 0.503
4 Tb 0.301 0.301 0.003
5 Tb 0.333 0.973 0.000
6 Tb 0.475 0.833 0.500
7 Tb 0.525 0.167 0.500
8 Tb 0.667 0.027 0.000
9 Tb 0.699 0.699 0.997
10 Tb 0.798 0.798 0.497
11 Tb 0.833 0.475 0.500
12 Tb 0.973 0.333 0.000
13 Pm 0.000 0.000 0.000
14 Pm 0.138 0.862 0.500
15 Pm 0.364 0.636 0.000
16 Pm 0.636 0.364 0.000
17 Pm 0.862 0.138 0.500
18 Er 0.500 0.500 0.500

Number 1: DFT formation energy 0.20 eV/f.u.. Number 2: DFT formation energy 6.48 eV/f.u.. Number 3: DFT formation energy 2.01 eV/f.u.. Number 4: DFT formation energy 1.32 eV/f.u.. Number 5: DFT formation energy 2.60 eV/f.u.. Number 6: DFT formation energy 0.11 eV/f.u.. Number 7: DFT formation energy 0.13 eV/f.u.. Number 8: DFT formation energy 1.33 eV/f.u.. Number 9: DFT formation energy 1.45 eV/f.u.. Number 10: DFT formation energy 1.49 eV/f.u.. Number 11: DFT formation energy 1.23 eV/f.u.. Number 12: DFT formation energy 1.58 eV/f.u..